Entry from Alexandria: a relaxed K2TiMnO4 crystal (PBE with a Hubbard U).

## Properties
The value obtained for the energy is -6.879 eV per atom. The mass density is 3.0 g/cm³. As for the space-group type: Pmmn.

a = 6.1136 Å, b = 6.8844 Å, c = 6.5517 Å
α = 90.00°, β = 90.00°, γ = 90.00°
Sites, in units of the cell vectors:
K1 0.2500 0.9996 0.2333
K2 0.2500 0.5004 0.2333
K3 0.7500 0.0004 0.7667
K4 0.7500 0.4996 0.7667
Ti1 0.2500 0.2500 0.6778
Ti2 0.7500 0.7500 0.3222
Mn1 0.2500 0.7500 0.6873
Mn2 0.7500 0.2500 0.3127
O1 0.0108 0.2500 0.5118
O2 0.2500 0.0211 0.8280
O3 0.2500 0.4789 0.8280
O4 0.4892 0.2500 0.5118
O5 0.5108 0.7500 0.4882
O6 0.7500 0.5211 0.1720
O7 0.7500 0.9789 0.1720
O8 0.9892 0.7500 0.4882